No. 1
Computed, not measured: LiCd2Ag at its PBEsol-relaxed geometry at the SCAN level of DFT.

Unit cell a=3.2892 b=3.3812 c=6.3313 alpha=90.00 beta=90.00 gamma=90.00
Positions (direct):
1 Li 0.0000 0.0000 0.0000
2 Cd 0.5000 0.5000 0.2409
3 Cd 0.5000 0.5000 0.7591
4 Ag 0.0000 0.0000 0.5000

DOS(E_F): 1.031 states/eV per cell
excess energy over the best structure of this formula in the dataset: 0.51 kcal/mol of atoms
ΔH_f (0 K): -0.80 eV per formula unit



No. 2
Computed, not measured: Tl2CrCl at its PBEsol-relaxed geometry at the SCAN level of DFT.

Unit cell a=3.3018 b=3.3018 c=9.6250 alpha=90.00 beta=90.00 gamma=114.42
Positions (direct):
1 Tl 0.0000 0.0000 0.0000
2 Tl 0.5000 0.5000 0.2855
3 Cr 0.0000 0.0000 0.5203
4 Cl 0.5000 0.5000 0.6803

DOS(E_F): 1.423 states/eV per cell
uncorrected formation energy: -0.24 eV/atom
excess energy over the best structure of this formula in the dataset: 0.00 kcal/mol of atoms



No. 3
Computed, not measured: CaMgCd at its PBEsol-relaxed geometry at the SCAN level of DFT.

Unit cell a=6.3451 b=6.3451 c=6.3451 alpha=146.61 beta=146.61 gamma=47.94
Positions (direct):
1 Ca 0.0000 0.0000 0.0000
2 Mg 0.6976 0.6976 0.0000
3 Cd 0.3265 0.3265 0.0000

DOS(E_F): 1.442 states/eV per cell
ΔH_f (0 K): -0.76 eV per formula unit



No. 4
Computed, not measured: KSrTl4 at its PBEsol-relaxed geometry at the SCAN level of DFT.

Unit cell a=6.4283 b=6.4283 c=6.4283 alpha=60.00 beta=60.00 gamma=60.00
Positions (direct):
1 K 0.0000 0.0000 0.0000
2 Sr 0.7500 0.7500 0.7500
3 Tl 0.3751 0.3751 0.3751
4 Tl 0.3751 0.3751 0.8748
5 Tl 0.3751 0.8748 0.3751
6 Tl 0.8748 0.3751 0.3751

DOS(E_F): 4.712 states/eV per cell
ΔH_f (0 K): -1.60 eV per formula unit



No. 5
Computed, not measured: Rb2NaO at its PBEsol-relaxed geometry at the SCAN level of DFT.

Unit cell a=8.3191 b=8.3191 c=8.3191 alpha=94.12 beta=94.12 gamma=148.90
Positions (direct):
1 Rb 0.3750 0.1523 0.2773
2 Rb 0.8477 0.1250 0.2227
3 Rb 0.8750 0.0977 0.7227
4 Rb 0.9023 0.6250 0.7773
5 Na 0.2500 0.7500 0.5000
6 Na 0.5000 0.5000 0.0000
7 O 0.0000 0.0000 0.0000
8 O 0.7500 0.2500 0.5000

DOS(E_F): 2.096 states/eV per cell
uncorrected formation energy: -0.78 eV/atom



No. 6
Computed, not measured: Mg2SbPb at its PBEsol-relaxed geometry at the SCAN level of DFT.

Unit cell a=5.4172 b=5.4172 c=5.4172 alpha=127.14 beta=127.14 gamma=78.02
Positions (direct):
1 Mg 0.2500 0.7500 0.5000
2 Mg 0.7500 0.2500 0.5000
3 Sb 0.0000 0.0000 0.0000
4 Pb 0.5000 0.5000 0.0000

DOS(E_F): 1.665 states/eV per cell
uncorrected formation energy: -0.15 eV/atom
excess energy over the best structure of this formula in the dataset: 0.45 kcal/mol of atoms



No. 7
Computed, not measured: Tm6FeBi2 at its PBEsol-relaxed geometry at the SCAN level of DFT.

Unit cell a=8.0933 b=8.0933 c=4.0489 alpha=90.00 beta=90.00 gamma=120.00
Positions (direct):
1 Tm 0.0000 0.3865 0.0000
2 Tm 0.0000 0.7707 0.5000
3 Tm 0.2293 0.2293 0.5000
4 Tm 0.3865 0.0000 0.0000
5 Tm 0.6135 0.6135 0.0000
6 Tm 0.7707 0.0000 0.5000
7 Fe 0.0000 0.0000 0.0000
8 Bi 0.3333 0.6667 0.5000
9 Bi 0.6667 0.3333 0.5000

DOS(E_F): 5.088 states/eV per cell
ΔH_f (0 K): -4.31 eV per formula unit



No. 8
Computed, not measured: Na2ZrSi4O11 at its PBEsol-relaxed geometry at the SCAN level of DFT.

Unit cell a=7.5150 b=7.5150 c=8.6101 alpha=97.70 beta=97.70 gamma=84.93
Positions (direct):
1 Na 0.0757 0.9243 0.7500
2 Na 0.3929 0.6071 0.7500
3 Na 0.6071 0.3929 0.2500
4 Na 0.9243 0.0757 0.2500
5 Zr 0.0000 0.5000 0.5000
6 Zr 0.5000 0.0000 0.0000
7 Si 0.1670 0.7335 0.0722
8 Si 0.1940 0.3357 0.1403
9 Si 0.2665 0.8330 0.4278
10 Si 0.3357 0.1940 0.6403
11 Si 0.6643 0.8060 0.3597
12 Si 0.7335 0.1670 0.5722
13 Si 0.8060 0.6643 0.8597
14 Si 0.8330 0.2665 0.9278
15 O 0.0424 0.2439 0.0050
16 O 0.1065 0.3739 0.3035
17 O 0.1583 0.8417 0.2500
18 O 0.1746 0.7127 0.5322
19 O 0.2041 0.3752 0.6468
20 O 0.2439 0.0424 0.5050
21 O 0.2449 0.5258 0.0849
22 O 0.2873 0.8254 0.9678
23 O 0.3739 0.1065 0.8035
24 O 0.3752 0.2041 0.1468
25 O 0.4742 0.7551 0.4151
26 O 0.5258 0.2449 0.5849
27 O 0.6248 0.7959 0.8532
28 O 0.6261 0.8935 0.1965
29 O 0.7127 0.1746 0.0322
30 O 0.7551 0.4742 0.9151
31 O 0.7561 0.9576 0.4950
32 O 0.7959 0.6248 0.3532
33 O 0.8254 0.2873 0.4678
34 O 0.8417 0.1583 0.7500
35 O 0.8935 0.6261 0.6965
36 O 0.9576 0.7561 0.9950

DOS(E_F): 0.000 states/eV per cell
uncorrected formation energy: -3.04 eV/atom



No. 9
Computed, not measured: MgCdPb2 at its PBEsol-relaxed geometry at the SCAN level of DFT.

Unit cell a=3.3956 b=4.4361 c=6.8371 alpha=90.00 beta=90.00 gamma=90.00
Positions (direct):
1 Mg 0.0000 0.0000 0.0000
2 Cd 0.0000 0.0000 0.5000
3 Pb 0.5000 0.5000 0.2495
4 Pb 0.5000 0.5000 0.7505

DOS(E_F): 1.803 states/eV per cell
excess energy over the best structure of this formula in the dataset: 0.62 kcal/mol of atoms
ΔH_f (0 K): -0.12 eV per formula unit



No. 10
Computed, not measured: Sr4TaP at its PBEsol-relaxed geometry at the SCAN level of DFT.

Unit cell a=6.5067 b=6.5067 c=6.5067 alpha=60.00 beta=60.00 gamma=60.00
Positions (direct):
1 Sr 0.1249 0.1249 0.1249
2 Sr 0.1249 0.1249 0.6252
3 Sr 0.1249 0.6252 0.1249
4 Sr 0.6252 0.1249 0.1249
5 Ta 0.5000 0.5000 0.5000
6 P 0.7500 0.7500 0.7500

DOS(E_F): 3.942 states/eV per cell
ΔH_f (0 K): 7.05 eV per formula unit



No. 11
Computed, not measured: Y2Cr3O12 at its PBEsol-relaxed geometry at the SCAN level of DFT.

Unit cell a=5.0096 b=6.7270 c=13.9846 alpha=84.30 beta=79.92 gamma=68.49
Positions (direct):
1 Y 0.1200 0.2050 0.0470
2 Y 0.1382 0.8714 0.3728
3 Y 0.8618 0.1286 0.6272
4 Y 0.8800 0.7950 0.9530
5 Cr 0.3491 0.9821 0.7976
6 Cr 0.3694 0.6212 0.1207
7 Cr 0.4053 0.2749 0.4531
8 Cr 0.5947 0.7251 0.5469
9 Cr 0.6306 0.3788 0.8793
10 Cr 0.6509 0.0179 0.2024
11 O 0.1367 0.0263 0.9088
12 O 0.1655 0.5424 0.0592
13 O 0.1747 0.8986 0.7310
14 O 0.1941 0.6914 0.2278
15 O 0.2068 0.2794 0.5597
16 O 0.2447 0.8612 0.5313
17 O 0.3019 0.1482 0.3820
18 O 0.3247 0.5710 0.8701
19 O 0.3329 0.1880 0.1800
20 O 0.3672 0.5163 0.4090
21 O 0.4061 0.1883 0.7413
22 O 0.4481 0.8249 0.0564
23 O 0.5519 0.1751 0.9436
24 O 0.5939 0.8117 0.2587
25 O 0.6328 0.4837 0.5910
26 O 0.6671 0.8120 0.8200
27 O 0.6753 0.4290 0.1299
28 O 0.6981 0.8518 0.6180
29 O 0.7553 0.1388 0.4687
30 O 0.7932 0.7206 0.4403
31 O 0.8059 0.3086 0.7722
32 O 0.8253 0.1014 0.2690
33 O 0.8345 0.4576 0.9408
34 O 0.8633 0.9737 0.0912

DOS(E_F): 0.000 states/eV per cell
uncorrected formation energy: -2.51 eV/atom
excess energy over the best structure of this formula in the dataset: 0.33 kcal/mol of atoms



No. 12
Computed, not measured: YFe2Pt at its PBEsol-relaxed geometry at the SCAN level of DFT.

Unit cell a=3.8862 b=3.8862 c=4.1242 alpha=90.00 beta=90.00 gamma=90.00
Positions (direct):
1 Y 0.0000 0.0000 0.0000
2 Fe 0.0000 0.5000 0.5000
3 Fe 0.5000 0.0000 0.5000
4 Pt 0.5000 0.5000 0.0000

DOS(E_F): 3.368 states/eV per cell
ΔH_f (0 K): -1.07 eV per formula unit



No. 13
Computed, not measured: ReAsPBr2 at its PBEsol-relaxed geometry at the SCAN level of DFT.

Unit cell a=5.0166 b=5.0166 c=4.7718 alpha=90.00 beta=90.00 gamma=90.00
Positions (direct):
1 Re 0.0000 0.0000 0.0000
2 As 0.0000 0.0000 0.5000
3 P 0.5000 0.5000 0.5000
4 Br 0.0000 0.5000 0.0000
5 Br 0.5000 0.0000 0.0000

DOS(E_F): 2.830 states/eV per cell
uncorrected formation energy: 1.04 eV/atom
excess energy over the best structure of this formula in the dataset: 0.00 kcal/mol of atoms



No. 14
Computed, not measured: LaTlRe2 at its PBEsol-relaxed geometry at the SCAN level of DFT.

Unit cell a=10.4083 b=10.4083 c=10.4083 alpha=16.22 beta=16.22 gamma=16.22
Positions (direct):
1 La 0.0000 0.0000 0.0000
2 Tl 0.5000 0.5000 0.5000
3 Re 0.2432 0.2432 0.2432
4 Re 0.7568 0.7568 0.7568

DOS(E_F): 4.465 states/eV per cell
excess energy over the best structure of this formula in the dataset: 5.95 kcal/mol of atoms
ΔH_f (0 K): 4.74 eV per formula unit



No. 15
Computed, not measured: LiZrPb2 at its PBEsol-relaxed geometry at the SCAN level of DFT.

Unit cell a=4.9069 b=4.9069 c=6.3323 alpha=99.00 beta=99.00 gamma=38.60
Positions (direct):
1 Li 0.0000 0.0000 0.0000
2 Zr 0.5000 0.5000 0.5000
3 Pb 0.2537 0.2537 0.7615
4 Pb 0.7463 0.7463 0.2385

DOS(E_F): 1.987 states/eV per cell
ΔH_f (0 K): -0.72 eV per formula unit



No. 16
Computed, not measured: LiTl2In at its PBEsol-relaxed geometry at the SCAN level of DFT.

Unit cell a=5.8739 b=5.8739 c=5.8739 alpha=141.88 beta=127.35 gamma=66.83
Positions (direct):
1 Li 0.0000 0.0000 0.0000
2 Tl 0.2341 0.7341 0.5000
3 Tl 0.7659 0.2659 0.5000
4 In 0.5000 0.5000 0.0000

DOS(E_F): 1.443 states/eV per cell
ΔH_f (0 K): -0.38 eV per formula unit



No. 17
Computed, not measured: ThSe2O7 at its PBEsol-relaxed geometry at the SCAN level of DFT.

Unit cell a=7.0060 b=9.5758 c=9.0327 alpha=90.00 beta=103.09 gamma=90.00
Positions (direct):
1 Th 0.2085 0.0388 0.3670
2 Th 0.2085 0.4612 0.8670
3 Th 0.7915 0.5388 0.1330
4 Th 0.7915 0.9612 0.6330
5 Se 0.1211 0.6801 0.5175
6 Se 0.1211 0.8199 0.0175
7 Se 0.3290 0.0974 0.7498
8 Se 0.3290 0.4026 0.2498
9 Se 0.6710 0.5974 0.7502
10 Se 0.6710 0.9026 0.2502
11 Se 0.8789 0.1801 0.9825
12 Se 0.8789 0.3199 0.4825
13 O 0.0474 0.5812 0.3649
14 O 0.0474 0.9188 0.8649
15 O 0.0624 0.2327 0.9063
16 O 0.0624 0.2673 0.4063
17 O 0.1040 0.0608 0.6233
18 O 0.1040 0.4392 0.1233
19 O 0.2547 0.6911 0.9733
20 O 0.2547 0.8089 0.4733
21 O 0.2743 0.5873 0.6495
22 O 0.2743 0.9127 0.1495
23 O 0.3382 0.2250 0.2538
24 O 0.3382 0.2750 0.7538
25 O 0.4523 0.0595 0.6075
26 O 0.4523 0.4405 0.1075
27 O 0.5477 0.5595 0.8925
28 O 0.5477 0.9405 0.3925
29 O 0.6618 0.7250 0.2462
30 O 0.6618 0.7750 0.7462
31 O 0.7257 0.0873 0.8505
32 O 0.7257 0.4127 0.3505
33 O 0.7453 0.1911 0.5267
34 O 0.7453 0.3089 0.0267
35 O 0.8960 0.5608 0.8767
36 O 0.8960 0.9392 0.3767
37 O 0.9376 0.7327 0.5937
38 O 0.9376 0.7673 0.0937
39 O 0.9526 0.0812 0.1351
40 O 0.9526 0.4188 0.6351

DOS(E_F): 0.000 states/eV per cell
uncorrected formation energy: -1.83 eV/atom



No. 18
Computed, not measured: Be2AgMo at its PBEsol-relaxed geometry at the SCAN level of DFT.

Unit cell a=4.1875 b=4.1875 c=4.1875 alpha=60.00 beta=60.00 gamma=60.00
Positions (direct):
1 Be 0.0000 0.0000 0.0000
2 Be 0.2500 0.2500 0.2500
3 Ag 0.7500 0.7500 0.7500
4 Mo 0.5000 0.5000 0.5000

DOS(E_F): 1.781 states/eV per cell
excess energy over the best structure of this formula in the dataset: 11.80 kcal/mol of atoms
ΔH_f (0 K): 2.35 eV per formula unit



No. 19
Computed, not measured: FeGe3N at its PBEsol-relaxed geometry at the SCAN level of DFT.

Unit cell a=4.1773 b=4.1773 c=4.1773 alpha=90.00 beta=90.00 gamma=90.00
Positions (direct):
1 Fe 0.0000 0.0000 0.0000
2 Ge 0.0000 0.5000 0.5000
3 Ge 0.5000 0.0000 0.5000
4 Ge 0.5000 0.5000 0.0000
5 N 0.5000 0.5000 0.5000

DOS(E_F): 2.315 states/eV per cell
uncorrected formation energy: 0.92 eV/atom



No. 20
Computed, not measured: Hf2MgI2 at its PBEsol-relaxed geometry at the SCAN level of DFT.

Unit cell a=6.7766 b=6.7766 c=6.7766 alpha=137.01 beta=137.01 gamma=62.42
Positions (direct):
1 Hf 0.1192 0.1192 0.0000
2 Hf 0.8808 0.8808 0.0000
3 Mg 0.5000 0.5000 0.0000
4 I 0.2500 0.7500 0.5000
5 I 0.7500 0.2500 0.5000

DOS(E_F): 4.173 states/eV per cell
uncorrected formation energy: 0.49 eV/atom